Compound: Pm4Y3Er
Source: Alexandria
Functional: PBE-GGA
Structure: optimized geometry

Geometry as extended XYZ:
```
8
Lattice="11.823 -1.747 0.000 11.823 1.747 0.000 -1.927 0.000 6.525" Properties=species:S:1:pos:R:3 pbc="T T T"
Pm 2.216 0.000 2.406
Pm 4.673 0.000 4.973
Pm 17.046 0.000 1.552
Pm 19.503 0.000 4.119
Y -0.964 0.000 3.262
Y 1.206 0.000 5.754
Y 20.513 0.000 0.771
Er 11.823 0.000 0.000
```

Summary:
- M_tot: 0.00 μB per cell
- Crystal system: monoclinic
- Energy above the lowest structure with this stoichiometry: 1.16 eV per formula unit